# 1
Here is a relaxed Li4Sm3PuS8 crystal from Alexandria via LeMat-Bulk. Energies are from PBE.

abc: 7.7176 7.7176 7.7176
angles: 62.43 62.43 62.43
Element x y z (fractional)
Li1 0.0000 0.0000 0.0000
Li2 0.0000 0.5000 0.5000
Li3 0.5000 0.0000 0.5000
Li4 0.5000 0.5000 0.0000
Sm1 0.0000 0.0000 0.5000
Sm2 0.0000 0.5000 0.0000
Sm3 0.5000 0.0000 0.0000
Pu1 0.5000 0.5000 0.5000
S1 0.2501 0.2501 0.7463
S2 0.2501 0.7463 0.2501
S3 0.2519 0.2519 0.2519
S4 0.2537 0.7499 0.7499
S5 0.7463 0.2501 0.2501
S6 0.7481 0.7481 0.7481
S7 0.7499 0.2537 0.7499
S8 0.7499 0.7499 0.2537

## Properties
E_form (uncorrected) ... -27.65 eV per formula unit
M_tot ... 5.00 μB per formula unit


# 2
Here is a relaxed RbTi3Hg crystal from Alexandria via LeMat-Bulk. Energies are from PBE.

abc: 4.7333 4.7333 4.7333
angles: 90.00 90.00 90.00
Element x y z (fractional)
Rb1 0.0000 0.0000 0.0000
Ti1 0.0000 0.0000 0.5000
Ti2 0.0000 0.5000 0.0000
Ti3 0.5000 0.0000 0.0000
Hg1 0.5000 0.5000 0.5000

## Properties
Formation energy ... 1948 meV per atom
M_tot ... 2.62 μB per formula unit
Distance to the lowest polymorph of the same formula ... 728.2 meV per atom